#1
Density functional theory data (GGA+U) for a relaxed BiWOF2 crystal.

symmetry = P4/mmm

Unit cell a=4.329 b=4.329 c=4.317 alpha=90.00 beta=90.00 gamma=90.00
Sites, in units of the cell vectors:
F1 0.500 0.000 0.000
F2 0.000 0.500 0.000
Bi1 0.500 0.500 0.500
O1 0.000 0.000 0.500
W1 0.000 0.000 0.000

#2
Density functional theory data (GGA+U) for a relaxed BiWOF2 crystal.

symmetry = P4/mmm

Unit cell a=4.560 b=4.323 c=4.560 alpha=90.00 beta=90.00 gamma=90.00
Sites, in units of the cell vectors:
Bi1 0.000 0.500 0.000
W1 0.500 0.500 0.500
F1 0.500 0.000 0.000
F2 0.000 0.000 0.500
O1 0.000 0.000 0.000

#3
Density functional theory data (GGA+U) for a relaxed BiWOF2 crystal.

symmetry = P4/mmm

Unit cell a=4.554 b=4.554 c=4.650 alpha=90.00 beta=90.00 gamma=90.00
Sites, in units of the cell vectors:
Bi1 0.000 0.000 0.000
W1 0.500 0.500 0.500
F1 0.000 0.500 0.000
F2 0.500 0.000 0.000
O1 0.000 0.000 0.500

Of them, #2 has the lowest stability.